! Se2N2Cl, relaxed, DFT PBE; values from VASP
&SYSTEM
  ibrav = 0, nat = 5, ntyp = 3
/
ATOMIC_SPECIES
N 14.01 N.upf
Se 78.96 Se.upf
Cl 35.45 Cl.upf
CELL_PARAMETERS angstrom
3.745 0.000 0.000
0.000 3.745 0.000
0.000 0.000 6.921
ATOMIC_POSITIONS angstrom
N 0.000 1.872 0.000
N 1.872 0.000 0.000
Se 0.000 0.000 0.000
Se 0.000 0.000 3.461
Cl 1.872 1.872 3.461
! total energy: -3.539 eV/atom
! raw formation energy: 1.554 eV per atom
! D(E_F): 0.8648 states/eV per atom